This record from the Alexandria database describes an optimized crystal structure of Sr2Al4Ge3Pd. The functional is PBE.

Cell and atoms, written as extended XYZ:
```
10
Lattice="-2.302 2.971 2.507 -1.508 -3.368 2.607 8.329 1.144 6.293" Properties=species:S:1:pos:R:3 pbc="T T T"
Sr 1.003 1.781 2.881
Sr 5.421 -0.836 5.969
Al -1.905 -0.198 2.557
Al 0.000 0.000 0.000
Al 3.993 2.192 5.141
Al 2.430 -1.247 3.709
Ge 4.164 0.572 3.146
Ge 6.083 2.479 6.719
Ge 0.341 -1.534 2.131
Pd 2.259 0.373 5.704
```

Its crystal system is tetragonal. The symmetry is P-4m2. As for the formation energy: -0.4256 eV per atom. Its volume is 214.4 Å³/cell. The calculation puts the final energy at -41.63 eV/cell.

=====

This record from the Alexandria database describes an optimized crystal structure of SrAlGePd3. The functional is PBE.

Cell and atoms, written as extended XYZ:
```
12
Lattice="-0.311 -5.649 1.242 6.141 0.335 3.060 -5.841 1.176 3.884" Properties=species:S:1:pos:R:3 pbc="T T T"
Sr -1.795 -3.480 3.983
Sr 1.783 -0.659 4.203
Al 0.330 0.046 7.043
Al -0.342 -4.184 1.143
Ge -2.167 -0.400 4.393
Ge 2.155 -3.739 3.794
Pd -1.066 -0.933 2.240
Pd 1.794 0.098 0.894
Pd 4.191 -2.588 2.787
Pd 1.638 -2.727 1.515
Pd 4.347 0.237 2.166
Pd 1.054 -3.205 5.946
```

Its crystal system is orthorhombic. The symmetry is Cmcm. As for the formation energy: -0.5910 eV per atom. Its volume is 247.8 Å³/cell. The calculation puts the final energy at -58.33 eV/cell.

=====

This record from the Alexandria database describes an optimized crystal structure of Sr2AlGePd6. The functional is PBE.

Cell and atoms, written as extended XYZ:
```
10
Lattice="-4.202 -4.828 2.048 5.306 -4.135 -0.931 3.536 -3.674 4.488" Properties=species:S:1:pos:R:3 pbc="T T T"
Sr 0.254 -6.468 3.647
Sr 4.387 -6.170 1.958
Al 0.000 0.000 0.000
Ge 0.552 -4.482 0.559
Pd 1.995 -3.945 2.517
Pd 3.349 -10.560 5.010
Pd 6.428 -7.856 4.258
Pd -1.788 -4.781 1.347
Pd 1.291 -2.078 0.595
Pd 2.645 -8.692 3.088
```

Its crystal system is triclinic. The symmetry is P-1. As for the formation energy: -0.6303 eV per atom. Its volume is 213.3 Å³/cell. The calculation puts the final energy at -49.18 eV/cell.

=====

This record from the Alexandria database describes an optimized crystal structure of SrAlGe2Pd. The functional is PBE.

Cell and atoms, written as extended XYZ:
```
5
Lattice="5.032 0.000 0.000 0.000 4.809 0.000 0.000 0.000 5.032" Properties=species:S:1:pos:R:3 pbc="T T T"
Sr 2.516 2.404 2.516
Ge 0.000 0.000 2.516
Ge 2.516 0.000 0.000
Al 0.000 2.404 0.000
Pd 0.000 0.000 0.000
```

Its crystal system is tetragonal. The symmetry is P4/mmm. As for the formation energy: -0.1227 eV per atom. Its volume is 121.7 Å³/cell. The calculation puts the final energy at -20.47 eV/cell.

=====

This record from the Alexandria database describes an optimized crystal structure of TaAlGePd2. The functional is PBE.

Cell and atoms, written as extended XYZ:
```
5
Lattice="4.525 0.000 0.000 0.000 4.730 0.000 0.000 0.000 4.525" Properties=species:S:1:pos:R:3 pbc="T T T"
Ge 0.000 0.000 0.000
Al 0.000 2.365 0.000
Pd 0.000 0.000 2.263
Pd 2.263 0.000 0.000
Ta 2.263 2.365 2.263
```

Its crystal system is tetragonal. The symmetry is P4/mmm. As for the formation energy: 0.7282 eV per atom. Its volume is 96.9 Å³/cell. The calculation puts the final energy at -26.96 eV/cell.

=====

This record from the Alexandria database describes an optimized crystal structure of TbAlGe2Pd4. The functional is PBE.

Cell and atoms, written as extended XYZ:
```
8
Lattice="4.351 0.000 0.000 2.175 3.768 0.000 2.175 1.256 8.387" Properties=species:S:1:pos:R:3 pbc="T T T"
Tb 0.000 0.000 0.000
Al 4.351 2.512 4.194
Ge 6.526 3.768 6.370
Ge 2.175 1.256 2.017
Pd 4.351 2.512 6.654
Pd 6.526 3.768 3.436
Pd 2.175 1.256 4.951
Pd 4.351 2.512 1.734
```

Its crystal system is trigonal. The symmetry is R-3m. As for the formation energy: -0.7011 eV per atom. Its volume is 137.5 Å³/cell. The calculation puts the final energy at -43.99 eV/cell.

=====

This record from the Alexandria database describes an optimized crystal structure of Tb2AlGePd6. The functional is PBE.

Cell and atoms, written as extended XYZ:
```
10
Lattice="8.029 -0.065 1.623 0.038 5.645 0.029 5.252 2.756 5.648" Properties=species:S:1:pos:R:3 pbc="T T T"
Tb 3.835 5.606 2.677
Tb 9.484 2.730 4.623
Al 4.033 2.790 0.826
Ge 0.000 0.000 0.000
Pd 7.283 6.969 6.067
Pd 6.052 4.186 1.247
Pd 4.645 2.775 3.240
Pd 6.036 1.366 1.234
Pd 7.266 4.150 6.054
Pd 8.674 5.561 4.060
```

Its crystal system is monoclinic. The symmetry is C2/m. As for the formation energy: -0.6704 eV per atom. Its volume is 207.4 Å³/cell. The calculation puts the final energy at -55.48 eV/cell.

=====

This record from the Alexandria database describes an optimized crystal structure of Tb2Al4GePd3. The functional is PBE.

Cell and atoms, written as extended XYZ:
```
10
Lattice="4.196 0.000 0.000 0.000 4.196 0.000 0.000 0.000 10.702" Properties=species:S:1:pos:R:3 pbc="T T T"
Tb 2.098 0.000 2.644
Tb 0.000 2.098 8.058
Al 2.098 2.098 0.000
Al 0.000 0.000 0.000
Al 2.098 0.000 6.842
Al 0.000 2.098 3.860
Ge 2.098 2.098 5.351
Pd 0.000 0.000 5.351
Pd 2.098 0.000 9.279
Pd 0.000 2.098 1.423
```

Its crystal system is tetragonal. The symmetry is P-4m2. As for the formation energy: -0.7678 eV per atom. Its volume is 188.4 Å³/cell. The calculation puts the final energy at -52.10 eV/cell.

=====

This record from the Alexandria database describes an optimized crystal structure of TbAl2GePd4. The functional is PBE.

Cell and atoms, written as extended XYZ:
```
8
Lattice="4.343 0.000 0.000 2.171 3.761 0.000 2.171 1.254 8.454" Properties=species:S:1:pos:R:3 pbc="T T T"
Tb 0.000 0.000 0.000
Al 6.514 3.761 6.224
Al 2.171 1.254 2.230
Ge 4.343 2.507 4.227
Pd 4.343 2.507 6.746
Pd 6.514 3.761 3.363
Pd 2.171 1.254 5.091
Pd 4.343 2.507 1.708
```

Its crystal system is trigonal. The symmetry is R-3m. As for the formation energy: -0.7129 eV per atom. Its volume is 138.1 Å³/cell. The calculation puts the final energy at -43.21 eV/cell.

=====

This record from the Alexandria database describes an optimized crystal structure of Th2AlGe3Pd4. The functional is PBE.

Cell and atoms, written as extended XYZ:
```
10
Lattice="-3.218 1.229 2.616 -2.616 -2.903 -1.854 2.917 -7.025 6.887" Properties=species:S:1:pos:R:3 pbc="T T T"
Th -0.901 -1.091 2.980
Th 0.901 -6.772 4.288
Al -1.459 -4.350 3.825
Ge 1.458 -3.513 3.443
Ge 0.917 -5.470 7.272
Ge -0.917 -2.393 -0.004
Pd -2.917 -0.837 0.381
Pd 0.000 0.000 0.000
Pd 0.217 -3.783 5.619
Pd -0.217 -4.079 1.649
```

Its crystal system is tetragonal. The symmetry is P-4m2. As for the formation energy: -0.8444 eV per atom. Its volume is 192.0 Å³/cell. The calculation puts the final energy at -61.65 eV/cell.

=====

This record from the Alexandria database describes an optimized crystal structure of Th2Al4GePd3. The functional is PBE.

Cell and atoms, written as extended XYZ:
```
10
Lattice="-1.974 3.850 -0.117 -1.740 -1.009 -3.832 -8.241 -4.078 4.815" Properties=species:S:1:pos:R:3 pbc="T T T"
Th -3.022 0.918 1.131
Th -7.075 -3.575 1.709
Al -1.857 1.421 -1.975
Al 0.000 0.000 0.000
Al -6.226 -0.667 3.002
Al -3.872 -1.990 -0.162
Ge -5.977 -0.618 0.433
Pd -4.120 -2.039 2.407
Pd -8.158 -1.624 4.131
Pd -1.939 -1.034 -1.291
```

Its crystal system is tetragonal. The symmetry is P-4m2. As for the formation energy: -0.7703 eV per atom. Its volume is 194.4 Å³/cell. The calculation puts the final energy at -57.71 eV/cell.

=====

This record from the Alexandria database describes an optimized crystal structure of Th2AlGe4Pd3. The functional is PBE.

Cell and atoms, written as extended XYZ:
```
10
Lattice="-1.829 -0.417 3.784 -3.534 -1.375 -1.860 3.638 -10.207 0.634" Properties=species:S:1:pos:R:3 pbc="T T T"
Th -0.009 -2.749 2.050
Th 0.965 -8.354 -0.453
Al -0.862 -5.999 1.279
Ge -2.681 -0.896 0.962
Ge 0.000 0.000 0.000
Ge 1.408 -6.724 2.297
Ge -0.451 -4.379 -0.700
Pd 1.819 -5.104 0.317
Pd 2.230 -9.030 2.440
Pd -1.273 -2.073 -0.844
```

Its crystal system is tetragonal. The symmetry is P-4m2. As for the formation energy: -0.7313 eV per atom. Its volume is 193.6 Å³/cell. The calculation puts the final energy at -59.94 eV/cell.

=====

This record from the Alexandria database describes an optimized crystal structure of Th2AlGePd6. The functional is PBE.

Cell and atoms, written as extended XYZ:
```
10
Lattice="8.820 0.050 -0.012 -0.028 5.471 -0.071 4.358 2.807 3.948" Properties=species:S:1:pos:R:3 pbc="T T T"
Th 4.386 5.520 1.966
Th 8.763 2.807 1.899
Al 4.396 2.760 -0.041
Ge 0.000 0.000 0.000
Pd 6.598 6.924 3.473
Pd 6.533 4.155 0.355
Pd 2.877 2.775 1.939
Pd 6.551 1.403 0.392
Pd 6.616 4.172 3.511
Pd 10.272 5.552 1.926
```

Its crystal system is triclinic. The symmetry is P-1. As for the formation energy: -0.7233 eV per atom. Its volume is 192.5 Å³/cell. The calculation puts the final energy at -61.59 eV/cell.

=====

This record from the Alexandria database describes an optimized crystal structure of TiAlGePd2. The functional is PBE.

Cell and atoms, written as extended XYZ:
```
5
Lattice="4.685 0.000 0.000 0.000 4.847 0.000 0.000 0.000 4.685" Properties=species:S:1:pos:R:3 pbc="T T T"
Ge 0.000 2.424 0.000
Al 2.342 2.424 2.342
Pd 0.000 0.000 2.342
Pd 2.342 0.000 0.000
Ti 0.000 0.000 0.000
```

Its crystal system is tetragonal. The symmetry is P4/mmm. As for the formation energy: 0.5594 eV per atom. Its volume is 106.4 Å³/cell. The calculation puts the final energy at -23.84 eV/cell.

=====

This record from the Alexandria database describes an optimized crystal structure of Y2AlGePd6. The functional is PBE.

Cell and atoms, written as extended XYZ:
```
10
Lattice="6.290 0.709 1.099 0.835 6.288 1.217 4.370 4.222 6.167" Properties=species:S:1:pos:R:3 pbc="T T T"
Y 7.114 4.203 4.205
Y 4.382 7.017 4.278
Al 0.000 0.000 0.000
Ge 3.563 3.499 1.158
Pd 3.664 4.189 3.682
Pd 5.041 5.576 1.757
Pd 5.811 8.404 6.300
Pd 5.685 2.815 2.183
Pd 6.455 5.644 6.725
Pd 7.832 7.031 4.801
```

Its crystal system is monoclinic. The symmetry is C2/m. As for the formation energy: -0.7253 eV per atom. Its volume is 185.4 Å³/cell. The calculation puts the final energy at -59.70 eV/cell.

=====

This record from the Alexandria database describes an optimized crystal structure of Y2AlGe3Pd4. The functional is PBE.

Cell and atoms, written as extended XYZ:
```
10
Lattice="-1.049 -3.048 -2.731 -1.776 -2.201 3.139 -9.082 4.747 -1.809" Properties=species:S:1:pos:R:3 pbc="T T T"
Y -2.777 -0.347 -1.814
Y -7.718 2.469 0.209
Al -5.954 -0.251 -0.700
Ge -4.541 2.373 -0.904
Ge -8.397 2.590 -2.933
Ge -2.098 -0.468 1.329
Pd -1.412 -2.625 0.204
Pd 0.000 0.000 0.000
Pd -6.270 1.478 -2.510
Pd -4.225 0.644 0.905
```

Its crystal system is tetragonal. The symmetry is P-4m2. As for the formation energy: -0.8325 eV per atom. Its volume is 185.8 Å³/cell. The calculation puts the final energy at -59.62 eV/cell.

=====

This record from the Alexandria database describes an optimized crystal structure of YAlGe2Pd4. The functional is PBE.

Cell and atoms, written as extended XYZ:
```
8
Lattice="4.348 0.000 0.000 2.174 3.766 0.000 2.174 1.255 8.391" Properties=species:S:1:pos:R:3 pbc="T T T"
Y 0.000 0.000 0.000
Al 4.348 2.510 4.195
Ge 6.522 3.766 6.378
Ge 2.174 1.255 2.013
Pd 4.348 2.510 6.655
Pd 6.522 3.766 3.436
Pd 2.174 1.255 4.955
Pd 4.348 2.510 1.736
```

Its crystal system is trigonal. The symmetry is R-3m. As for the formation energy: -0.7027 eV per atom. Its volume is 137.4 Å³/cell. The calculation puts the final energy at -45.83 eV/cell.

=====

This record from the Alexandria database describes an optimized crystal structure of YAl2GePd. The functional is PBE.

Cell and atoms, written as extended XYZ:
```
5
Lattice="5.434 0.000 0.000 0.000 5.217 0.000 0.000 0.000 5.434" Properties=species:S:1:pos:R:3 pbc="T T T"
Y 0.000 0.000 0.000
Ge 0.000 2.609 0.000
Al 0.000 0.000 2.717
Al 2.717 0.000 0.000
Pd 2.717 2.609 2.717
```

Its crystal system is tetragonal. The symmetry is P4/mmm. As for the formation energy: 1.2146 eV per atom. Its volume is 154.1 Å³/cell. The calculation puts the final energy at -17.69 eV/cell.

=====

This record from the Alexandria database describes an optimized crystal structure of Y2AlGe4Pd3. The functional is PBE.

Cell and atoms, written as extended XYZ:
```
10
Lattice="4.038 0.000 0.000 0.000 4.038 0.000 0.000 0.000 11.413" Properties=species:S:1:pos:R:3 pbc="T T T"
Y 2.019 0.000 2.920
Y 0.000 2.019 8.493
Al 2.019 2.019 5.707
Ge 2.019 2.019 0.000
Ge 0.000 0.000 0.000
Ge 2.019 0.000 7.344
Ge 0.000 2.019 4.069
Pd 0.000 0.000 5.707
Pd 2.019 0.000 9.794
Pd 0.000 2.019 1.620
```

Its crystal system is tetragonal. The symmetry is P-4m2. As for the formation energy: -0.7420 eV per atom. Its volume is 186.1 Å³/cell. The calculation puts the final energy at -58.14 eV/cell.

=====

This record from the Alexandria database describes an optimized crystal structure of Pm2AlGe4. The functional is PBE.

Cell and atoms, written as extended XYZ:
```
7
Lattice="4.064 0.000 0.000 0.000 4.064 0.000 0.000 0.000 9.919" Properties=species:S:1:pos:R:3 pbc="T T T"
Pm 2.032 0.000 7.402
Pm 0.000 2.032 2.517
Al 2.032 2.032 0.000
Ge 2.032 0.000 1.520
Ge 0.000 2.032 8.399
Ge 2.032 2.032 4.960
Ge 0.000 0.000 4.960
```

Its crystal system is tetragonal. The symmetry is P-4m2. As for the formation energy: -0.3907 eV per atom. Its volume is 163.8 Å³/cell. The calculation puts the final energy at -34.45 eV/cell.